1.
Entry from Alexandria: Ac2Nd2In3 after structural relaxation (PBE-GGA).

Computed properties:
* formation energy from the elements: -0.30 eV per atom
* space-group type: Cmmm (65)
* polymorph energy (0 for the lowest one): 0 meV/atom

Cell: 4.704 3.719 13.319 Å, 90.00 79.83 90.00°
Fractional positions:
Ac: 0.574 0.500 0.851
Ac: 0.426 0.500 0.149
Nd: 0.706 0.500 0.588
Nd: 0.294 0.500 0.412
In: 0.845 0.000 0.309
In: 0.000 0.000 0.000
In: 0.155 0.000 0.691

***

2.
Entry from Alexandria: Cd3AgRh2 after structural relaxation (PBE-GGA).

Computed properties:
* formation energy from the elements: -0.10 eV per atom
* space-group type: Cmmm (65)
* polymorph energy (0 for the lowest one): 0 meV/atom

Cell: 3.389 4.545 7.200 Å, 108.40 90.00 90.00°
Fractional positions:
Cd: 0.500 0.500 0.000
Cd: 0.500 0.826 0.653
Cd: 0.500 0.174 0.347
Ag: 0.000 0.000 0.000
Rh: 0.000 0.338 0.677
Rh: 0.000 0.662 0.323

***

3.
Entry from Alexandria: LiZr2Au after structural relaxation (PBE-GGA).

Computed properties:
* formation energy from the elements: -0.13 eV per atom
* space-group type: Pmmm (47)

Cell: 3.230 4.218 5.731 Å, 90.00 90.00 90.00°
Fractional positions:
Au: 0.500 0.500 0.250
Li: 0.500 0.500 0.750
Zr: 0.000 0.000 0.004
Zr: 0.000 0.000 0.496

***

4.
Entry from Alexandria: InTc2BiSe after structural relaxation (PBE-GGA).

Computed properties:
* raw formation energy: 153 kJ/mol of atoms
* space-group type: P4/mmm (123)

Cell: 5.155 5.093 5.155 Å, 90.00 90.00 90.00°
Last column: magnetic moment on the atom in μB.
Fractional positions:
Tc: 0.000 0.000 0.500  2.56
Tc: 0.500 0.000 0.000  2.32
Bi: 0.500 0.500 0.500  -0.30
Se: 0.000 0.500 0.000  0.02
In: 0.000 0.000 0.000  -0.08

***

5.
Entry from Alexandria: YPaSbC after structural relaxation (PBE-GGA).

Computed properties:
* raw formation energy: -41 kJ/mol of atoms
* space-group type: R-3m (166)

Cell: 4.071 4.071 14.223 Å, 81.77 81.77 60.00°
Fractional positions:
Y: 0.797 0.797 0.610
Y: 0.203 0.203 0.390
Pa: 0.633 0.633 0.100
Pa: 0.367 0.367 0.900
Sb: 0.087 0.087 0.740
Sb: 0.913 0.913 0.260
C: 0.688 0.688 0.936
C: 0.312 0.312 0.064

***

6.
Entry from Alexandria: AcSCl after structural relaxation (PBE-GGA).

Computed properties:
* raw formation energy: -192 kJ/mol of atoms
* space-group type: I4mm (107)
* polymorph energy (0 for the lowest one): 330 meV/atom

Cell: 3.993 3.993 5.533 Å, 111.15 111.15 90.00°
Fractional positions:
Ac: 0.679 0.679 0.359
S: 0.318 0.318 0.635
Cl: 0.003 0.003 0.006

***

7.
Entry from Alexandria: SrVSiNi2 after structural relaxation (PBE-GGA).

Computed properties:
* raw formation energy: 209 kJ/mol of atoms
* space-group type: P4/mmm (123)
* polymorph energy (0 for the lowest one): 1840 meV/atom

Cell: 4.568 4.911 4.568 Å, 90.00 90.00 90.00°
Fractional positions:
Sr: 0.000 0.000 0.000
Si: 0.500 0.500 0.500
V: 0.000 0.500 0.000
Ni: 0.000 0.000 0.500
Ni: 0.500 0.000 0.000